Entry 1:
Compound: CaNdPu
Source: Alexandria
Functional: PBE
Structure: relaxed

a = 8.366 Å, b = 8.366 Å, c = 8.366 Å
α = 155.33°, β = 155.33°, γ = 35.16°
Atoms (fractional coordinates):
Ca 0.000 0.000 0.000
Nd 0.320 0.320 0.000
Pu 0.668 0.668 0.000

Its crystal system is tetragonal. For the total magnetization, the calculation gives 6.43 μB per formula unit. The energy relative to the elements is 0.21 eV per atom. The density of states at the Fermi level comes out at 3.246 states/eV/atom. The space group is I4mm, No. 107.

---

Entry 2:
Compound: CaNdPu2S4
Source: Alexandria
Functional: PBE
Structure: relaxed

a = 6.950 Å, b = 4.002 Å, c = 6.955 Å
α = 90.00°, β = 109.43°, γ = 90.00°
Atoms (fractional coordinates):
Ca 0.000 0.000 0.000
Nd 0.000 0.500 0.500
Pu 0.500 0.000 0.500
Pu 0.500 0.500 0.000
S 0.254 0.500 0.249
S 0.257 0.000 0.756
S 0.743 0.000 0.244
S 0.746 0.500 0.751

Its crystal system is monoclinic. For the total magnetization, the calculation gives 11.50 μB per formula unit. The energy relative to the elements, uncorrected comes out at -1900 meV/atom. The density of states at the Fermi level comes out at 1.873 states/eV/atom. The space group is P2/m, No. 10.

---

Entry 3:
Compound: Ca3Nd2PuSe6
Source: Alexandria
Functional: PBE
Structure: relaxed

a = 9.443 Å, b = 9.443 Å, c = 8.464 Å
α = 103.72°, β = 103.72°, γ = 25.60°
Atoms (fractional coordinates):
Ca 0.000 0.000 0.000
Ca 0.333 0.333 0.666
Ca 0.667 0.667 0.334
Nd 0.334 0.334 0.167
Nd 0.666 0.666 0.833
Pu 0.000 0.000 0.500
Se 0.166 0.166 0.087
Se 0.167 0.167 0.580
Se 0.499 0.499 0.749
Se 0.501 0.501 0.251
Se 0.833 0.833 0.420
Se 0.834 0.834 0.913

Its crystal system is monoclinic. For the total magnetization, the calculation gives 6.02 μB per formula unit. The energy relative to the elements, uncorrected comes out at -1846 meV/atom. The density of states at the Fermi level comes out at 1.275 states/eV/atom. The space group is C2/m, No. 12.

---

Entry 4:
Compound: Ca2NdPuSe4
Source: Alexandria
Functional: PBE
Structure: relaxed

a = 7.251 Å, b = 4.188 Å, c = 7.332 Å
α = 90.00°, β = 109.30°, γ = 90.00°
Atoms (fractional coordinates):
Ca 0.000 0.000 0.000
Ca 0.500 0.500 0.000
Nd 0.000 0.500 0.500
Pu 0.500 0.000 0.500
Se 0.252 0.500 0.248
Se 0.253 0.000 0.754
Se 0.747 0.000 0.246
Se 0.748 0.500 0.752

Its crystal system is monoclinic. For the total magnetization, the calculation gives 6.00 μB per formula unit. The energy relative to the elements, uncorrected comes out at -1816 meV/atom. The density of states at the Fermi level comes out at 1.678 states/eV/atom. The space group is P2/m, No. 10.